Record 1
! AsSe2BrN | the Alexandria database | GGA-PBE | optimized geometry; values from VASP
! Size of the total moment = 1.43 μB per formula unit
! Space group = P4/mmm (123)
! Total DFT energy (no corrections) = -11.60 eV/f.u.
&SYSTEM
  ibrav = 0, nat = 5, ntyp = 4
/
ATOMIC_SPECIES
As 74.92 As.upf
Se 78.96 Se.upf
Br 79.90 Br.upf
N 14.01 N.upf
CELL_PARAMETERS angstrom
5.197 0.000 0.000
0.000 5.197 0.000
0.000 0.000 5.363
ATOMIC_POSITIONS crystal
As 0.000 0.000 0.000
Se 0.000 0.500 0.500
Se 0.500 0.000 0.500
Br 0.000 0.000 0.500
N 0.500 0.500 0.000

=====

Record 2
! AsSe2BrN | the Alexandria database | GGA-PBE | optimized geometry; values from VASP
! Size of the total moment = 0.00 μB per formula unit
! Space group = P4/mmm (123)
! Total DFT energy (no corrections) = -13.89 eV/f.u.
&SYSTEM
  ibrav = 0, nat = 5, ntyp = 4
/
ATOMIC_SPECIES
As 74.92 As.upf
Se 78.96 Se.upf
Br 79.90 Br.upf
N 14.01 N.upf
CELL_PARAMETERS angstrom
5.300 0.000 0.000
0.000 5.300 0.000
0.000 0.000 3.738
ATOMIC_POSITIONS crystal
As 0.000 0.000 0.000
Se 0.000 0.500 0.500
Se 0.500 0.000 0.500
Br 0.500 0.500 0.500
N 0.500 0.500 0.000

=====

Record 3
! SiAsBr2N | the Alexandria database | GGA-PBE | optimized geometry; values from VASP
! Size of the total moment = 0.00 μB per formula unit
! Space group = P4/mmm (123)
! Total DFT energy (no corrections) = -15.93 eV/f.u.
&SYSTEM
  ibrav = 0, nat = 5, ntyp = 4
/
ATOMIC_SPECIES
Si 28.09 Si.upf
As 74.92 As.upf
Br 79.90 Br.upf
N 14.01 N.upf
CELL_PARAMETERS angstrom
4.497 0.000 0.000
0.000 4.497 0.000
0.000 0.000 4.732
ATOMIC_POSITIONS crystal
Si 0.000 0.000 0.000
As 0.500 0.500 0.000
Br 0.000 0.500 0.500
Br 0.500 0.000 0.500
N 0.500 0.500 0.500

=====

Record 4
! SiAsBr2N | the Alexandria database | GGA-PBE | optimized geometry; values from VASP
! Size of the total moment = 0.92 μB per formula unit
! Space group = P4/mmm (123)
! Total DFT energy (no corrections) = -15.69 eV/f.u.
&SYSTEM
  ibrav = 0, nat = 5, ntyp = 4
/
ATOMIC_SPECIES
Si 28.09 Si.upf
As 74.92 As.upf
Br 79.90 Br.upf
N 14.01 N.upf
CELL_PARAMETERS angstrom
5.139 0.000 0.000
0.000 5.139 0.000
0.000 0.000 5.106
ATOMIC_POSITIONS crystal
Si 0.000 0.000 0.000
As 0.000 0.000 0.500
Br 0.000 0.500 0.000
Br 0.500 0.000 0.000
N 0.500 0.500 0.500

=====

Record 5
! SnAs2BrN | the Alexandria database | GGA-PBE | optimized geometry; values from VASP
! Size of the total moment = 0.00 μB per formula unit
! Space group = P4/mmm (123)
! Total DFT energy (no corrections) = -19.45 eV/f.u.
&SYSTEM
  ibrav = 0, nat = 5, ntyp = 4
/
ATOMIC_SPECIES
Sn 118.71 Sn.upf
As 74.92 As.upf
Br 79.90 Br.upf
N 14.01 N.upf
CELL_PARAMETERS angstrom
4.457 0.000 0.000
0.000 4.457 0.000
0.000 0.000 4.927
ATOMIC_POSITIONS crystal
Sn 0.000 0.000 0.000
As 0.000 0.500 0.500
As 0.500 0.000 0.500
Br 0.500 0.500 0.000
N 0.500 0.500 0.500

=====

Record 6
! SnAs2BrN | the Alexandria database | GGA-PBE | optimized geometry; values from VASP
! Size of the total moment = 5.21 μB per formula unit
! Space group = P4/mmm (123)
! Total DFT energy (no corrections) = -15.50 eV/f.u.
&SYSTEM
  ibrav = 0, nat = 5, ntyp = 4
/
ATOMIC_SPECIES
Sn 118.71 Sn.upf
As 74.92 As.upf
Br 79.90 Br.upf
N 14.01 N.upf
CELL_PARAMETERS angstrom
5.427 0.000 0.000
0.000 5.427 0.000
0.000 0.000 5.777
ATOMIC_POSITIONS crystal
Sn 0.000 0.000 0.000
As 0.000 0.500 0.000
As 0.500 0.000 0.000
Br 0.000 0.000 0.500
N 0.500 0.500 0.500

=====

Record 7
! SrAs2BrN | the Alexandria database | GGA-PBE | optimized geometry; values from VASP
! Size of the total moment = 8.01 μB per formula unit
! Space group = P4/mmm (123)
! Total DFT energy (no corrections) = -14.62 eV/f.u.
&SYSTEM
  ibrav = 0, nat = 5, ntyp = 4
/
ATOMIC_SPECIES
Sr 87.62 Sr.upf
As 74.92 As.upf
Br 79.90 Br.upf
N 14.01 N.upf
CELL_PARAMETERS angstrom
6.527 0.000 0.000
0.000 6.527 0.000
0.000 0.000 5.935
ATOMIC_POSITIONS crystal
Sr 0.000 0.000 0.000
As 0.000 0.500 0.000
As 0.500 0.000 0.000
Br 0.000 0.000 0.500
N 0.500 0.500 0.500

=====

Record 8
! SrAs2BrN | the Alexandria database | GGA-PBE | optimized geometry; values from VASP
! Size of the total moment = 0.12 μB per formula unit
! Space group = P4/mmm (123)
! Total DFT energy (no corrections) = -21.03 eV/f.u.
&SYSTEM
  ibrav = 0, nat = 5, ntyp = 4
/
ATOMIC_SPECIES
Sr 87.62 Sr.upf
As 74.92 As.upf
Br 79.90 Br.upf
N 14.01 N.upf
CELL_PARAMETERS angstrom
4.266 0.000 0.000
0.000 4.266 0.000
0.000 0.000 6.584
ATOMIC_POSITIONS crystal
Sr 0.000 0.000 0.000
As 0.000 0.500 0.500
As 0.500 0.000 0.500
Br 0.500 0.500 0.000
N 0.500 0.500 0.500

=====

Number 1: offset from the most stable computed form 1007 meV per atom. Number 2: offset from the most stable computed form 548 meV per atom. Number 3: offset from the most stable computed form 0 meV per atom. Number 4: offset from the most stable computed form 49 meV per atom. Number 5: offset from the most stable computed form 0 meV per atom. Number 6: offset from the most stable computed form 789 meV per atom. Number 7: offset from the most stable computed form 1283 meV per atom. Number 8: offset from the most stable computed form 0 meV per atom.